1.
Pr3Mg2O6 | PBE | optimized geometry

Structure (POSCAR):
```
Pr3Mg2O6
1.0
-1.973 1.973 9.724
1.973 -1.973 9.724
1.973 1.973 -9.724
Pr Mg O
3 2 6
Direct
0.000 0.000 0.000
0.176 0.176 0.000
0.824 0.824 0.000
0.402 0.402 0.000
0.598 0.598 0.000
0.090 0.590 0.500
0.296 0.296 0.000
0.410 0.910 0.500
0.590 0.090 0.500
0.704 0.704 0.000
0.910 0.410 0.500
```

Results
The value obtained for the density of states at the Fermi level is 0.072 states/eV/atom. As for the symmetry: I4/mmm. The density is 6.22 g/cm³. The formation energy from raw total energies comes out at -2.868 eV/atom.

***

2.
Pr3MgO | PBE | optimized geometry

Structure (POSCAR):
```
Pr3MgO
1.0
5.069 0.000 0.000
0.000 5.069 0.000
0.000 0.000 5.069
Pr Mg O
3 1 1
Direct
0.000 0.000 0.500
0.000 0.500 0.000
0.500 0.000 0.000
0.500 0.500 0.500
0.000 0.000 0.000
```

Results
The value obtained for the density of states at the Fermi level is 1.236 states/eV/atom. As for the symmetry: Pm-3m. The density is 5.90 g/cm³. The formation energy from raw total energies comes out at -1.162 eV/atom.

***

3.
Pr6Mg2O | PBE | optimized geometry

Structure (POSCAR):
```
Pr6Mg2O
1.0
0.000 5.135 5.135
5.135 0.000 5.135
5.135 5.135 0.000
Pr Mg O
6 2 1
Direct
0.245 0.245 0.755
0.245 0.755 0.245
0.245 0.755 0.755
0.755 0.245 0.245
0.755 0.245 0.755
0.755 0.755 0.245
0.250 0.250 0.250
0.750 0.750 0.750
0.000 0.000 0.000
```

Results
The value obtained for the density of states at the Fermi level is 1.176 states/eV/atom. As for the symmetry: Fm-3m. The density is 5.58 g/cm³. The formation energy from raw total energies comes out at -0.580 eV/atom.

***

4.
Pr2MgPtO5 | PBE | optimized geometry

Structure (POSCAR):
```
Pr2MgPtO5
1.0
6.784 0.000 0.000
0.000 6.784 0.000
0.000 0.000 5.816
Pr Mg Pt O
4 2 2 10
Direct
0.172 0.328 0.000
0.328 0.828 0.000
0.672 0.172 0.000
0.828 0.672 0.000
0.000 0.000 0.500
0.500 0.500 0.500
0.000 0.500 0.500
0.500 0.000 0.500
0.000 0.000 0.000
0.147 0.647 0.255
0.147 0.647 0.745
0.353 0.147 0.255
0.353 0.147 0.745
0.500 0.500 0.000
0.647 0.853 0.255
0.647 0.853 0.745
0.853 0.353 0.255
0.853 0.353 0.745
```

Results
As for the symmetry: P4/mbm. The density is 7.21 g/cm³. The formation energy from raw total energies comes out at -2.121 eV/atom.

***

5.
Pr2MgPtO6 | PBE | optimized geometry

Structure (POSCAR):
```
Pr2MgPtO6
1.0
5.548 0.000 0.000
0.000 5.768 0.000
-5.523 0.000 7.933
Pr Mg Pt O
4 2 2 12
Direct
0.235 0.059 0.250
0.235 0.441 0.750
0.765 0.559 0.250
0.765 0.941 0.750
0.500 0.000 0.000
0.500 0.500 0.500
0.000 0.000 0.500
0.000 0.500 0.000
0.148 0.206 0.949
0.148 0.294 0.449
0.247 0.703 0.950
0.247 0.797 0.450
0.344 0.029 0.748
0.344 0.471 0.248
0.656 0.529 0.752
0.656 0.971 0.252
0.753 0.203 0.550
0.753 0.297 0.050
0.852 0.706 0.551
0.852 0.794 0.051
```

Results
The value obtained for the density of states at the Fermi level is 0.000 states/eV/atom. As for the symmetry: P2_1/c. The density is 7.81 g/cm³. The formation energy from raw total energies comes out at -2.428 eV/atom.

***

6.
Pr2PuMgO6 | PBE | optimized geometry

Structure (POSCAR):
```
Pr2PuMgO6
1.0
5.722 0.000 0.000
0.000 5.935 0.000
-5.568 0.000 8.348
Pr Pu Mg O
4 2 2 12
Direct
0.228 0.055 0.248
0.228 0.445 0.748
0.772 0.555 0.252
0.772 0.945 0.752
0.500 0.000 0.000
0.500 0.500 0.500
0.000 0.000 0.500
0.000 0.500 0.000
0.131 0.203 0.937
0.131 0.297 0.437
0.228 0.697 0.934
0.228 0.803 0.434
0.367 0.049 0.746
0.367 0.451 0.246
0.633 0.549 0.754
0.633 0.951 0.254
0.772 0.197 0.566
0.772 0.303 0.066
0.869 0.703 0.563
0.869 0.797 0.063
```

Results
The value obtained for the density of states at the Fermi level is 0.016 states/eV/atom. As for the symmetry: P2_1/c. The density is 7.57 g/cm³. The formation energy from raw total energies comes out at -3.062 eV/atom.